# LiBeZn

LiBeZn after structural relaxation (PBE, the Alexandria database).

The structure belongs to space group F-43m (No. 216); the cell edges are 5.618, 5.618 and 5.618 Å and the angles 90.00°, 90.00° and 90.00°. The inequivalent atoms are Li at (0.000, 0.000, 0.000), Be at (0.250, 0.250, 0.750) and Zn at (0.000, 0.000, 0.500).

Its offset from the most stable computed form is 328 meV/atom. The formation energy comes out at 0.353 eV per atom. For the density, the calculation gives 3.05 g/cm³. The uncorrected energy is -1.952 eV per atom.

# RbCu2Br6

RbCu2Br6 after structural relaxation (PBE, the Alexandria database).

The structure belongs to space group C2/m (No. 12); the cell edges are 11.466, 6.802 and 9.870 Å and the angles 90.00°, 123.60° and 90.00°. The inequivalent atoms are Rb at (0.000, 0.000, 0.000), Cu at (0.122, 0.500, 0.438), Br at (0.088, 0.500, 0.177), Br at (0.129, 0.500, 0.690) and Br at (0.135, 0.000, 0.431).

The calculation puts the formation energy without anion corrections at -565 meV per atom. For the density, the calculation gives 3.58 g/cm³. The uncorrected energy is -2.698 eV per atom.

# CdRhW

CdRhW after structural relaxation (PBE, the Alexandria database).

The structure belongs to space group Imm2 (No. 44); the cell edges are 2.849, 3.826 and 9.195 Å and the angles 90.00°, 90.00° and 90.00°. The inequivalent atoms are Cd at (0.000, 0.000, 0.000), Rh at (0.000, 0.000, 0.320) and W at (0.000, 0.000, 0.687).

Its offset from the most stable computed form is 375 meV/atom. The formation energy comes out at 0.271 eV per atom. For the density, the calculation gives 13.23 g/cm³. The uncorrected energy is -6.802 eV per atom.

# Sm2TmSc6

Sm2TmSc6 after structural relaxation (PBE, the Alexandria database).

The structure belongs to space group P6/mmm (No. 191); the cell edges are 9.2334, 9.2334 and 3.2868 Å and the angles 90.00°, 90.00° and 120.00°. The inequivalent atoms are Sm at (0.3333, 0.6667, 0.0000), Tm at (0.0000, 0.0000, 0.0000) and Sc at (0.0000, 0.3310, 0.5000).

The formation energy comes out at 0.068 eV per atom. For the density, the calculation gives 5.06 g/cm³. The uncorrected energy is -5.699 eV per atom.

# KLiCaLa2

KLiCaLa2 after structural relaxation (PBE, the Alexandria database).

The structure belongs to space group P4/mmm (No. 123); the cell edges are 5.791, 5.791 and 6.270 Å and the angles 90.00°, 90.00° and 90.00°. The inequivalent atoms are K at (0.000, 0.000, 0.000), Li at (0.000, 0.000, 0.500), Ca at (0.500, 0.500, 0.000) and La at (0.000, 0.500, 0.500).

The formation energy comes out at 0.548 eV per atom. For the density, the calculation gives 2.87 g/cm³. The uncorrected energy is -2.425 eV per atom.

# Ta5Ti2Nb5

Ta5Ti2Nb5 after structural relaxation (PBE, the Alexandria database).

The structure belongs to space group C2/m (No. 12); the cell edges are 13.989, 4.676 and 8.089 Å and the angles 90.00°, 125.13° and 90.00°. The inequivalent atoms are Ta at (0.000, 0.000, 0.000), Ta at (0.080, 0.000, 0.743), Ta at (0.172, 0.000, 0.505), Ti at (0.168, 0.500, 0.006), Nb at (0.000, 0.500, 0.500), Nb at (0.080, 0.500, 0.251) and Nb at (0.248, 0.500, 0.754).

The formation energy comes out at 0.015 eV per atom. For the density, the calculation gives 11.24 g/cm³. The uncorrected energy is -10.435 eV per atom.

# Er4Tm3Sb4

Er4Tm3Sb4 after structural relaxation (PBE, the Alexandria database).

The structure belongs to space group Immm (No. 71); the cell edges are 3.991, 9.088 and 17.060 Å and the angles 90.00°, 90.00° and 90.00°. The inequivalent atoms are Er at (0.000, 0.184, 0.168), Tm at (0.000, 0.000, 0.400), Tm at (0.000, 0.500, 0.500), Sb at (0.000, 0.295, 0.000) and Sb at (0.000, 0.500, 0.235).

The calculation puts the formation energy without anion corrections at -708 meV per atom. For the density, the calculation gives 8.93 g/cm³. The uncorrected energy is -5.085 eV per atom.

# RbCdHg2

RbCdHg2 after structural relaxation (PBE, the Alexandria database).

The structure belongs to space group I-42d (No. 122); the cell edges are 5.721, 5.721 and 20.471 Å and the angles 90.00°, 90.00° and 90.00°. The inequivalent atoms are Rb at (0.000, 0.000, 0.000), Cd at (0.000, 0.000, 0.500) and Hg at (0.085, 0.250, 0.625).

The formation energy comes out at -0.080 eV per atom. For the density, the calculation gives 5.94 g/cm³. The uncorrected energy is -0.701 eV per atom.

# LaMnAs2Se

LaMnAs2Se after structural relaxation (PBE, the Alexandria database).

The structure belongs to space group P4/mmm (No. 123); the cell edges are 5.690, 5.690 and 5.638 Å and the angles 90.00°, 90.00° and 90.00°. The inequivalent atoms are La at (0.000, 0.000, 0.000), Mn at (0.500, 0.500, 0.500), As at (0.000, 0.500, 0.000) and Se at (0.000, 0.000, 0.500).

The calculation puts the formation energy without anion corrections at 604 meV per atom. Its offset from the most stable computed form is 1223 meV/atom. For the density, the calculation gives 3.85 g/cm³. The uncorrected energy is -4.772 eV per atom.

# CuBiI2N

CuBiI2N after structural relaxation (PBE, the Alexandria database).

The structure belongs to space group P4/mmm (No. 123); the cell edges are 6.292, 6.292 and 4.229 Å and the angles 90.00°, 90.00° and 90.00°. The inequivalent atoms are Cu at (0.000, 0.000, 0.000), Bi at (0.500, 0.500, 0.500), I at (0.000, 0.500, 0.500) and N at (0.500, 0.500, 0.000).

The calculation puts the formation energy without anion corrections at 1015 meV per atom. Its offset from the most stable computed form is 336 meV/atom. For the density, the calculation gives 5.36 g/cm³. The uncorrected energy is -2.866 eV per atom.

# KCePa2O8

KCePa2O8 after structural relaxation (PBE, the Alexandria database).

The structure belongs to space group I-4m2 (No. 119); the cell edges are 5.529, 5.529 and 10.901 Å and the angles 90.00°, 90.00° and 90.00°. The inequivalent atoms are K at (0.000, 0.000, 0.000), Ce at (0.000, 0.500, 0.750), Pa at (0.000, 0.000, 0.500), Pa at (0.000, 0.500, 0.250) and O at (0.226, 0.235, 0.368).

The calculation puts the formation energy without anion corrections at -3086 meV per atom. For the density, the calculation gives 7.67 g/cm³. The uncorrected energy is -8.560 eV per atom.

# BaCaY

BaCaY after structural relaxation (PBE, the Alexandria database).

The structure belongs to space group I4mm (No. 107); the cell edges are 3.925, 3.925 and 17.008 Å and the angles 90.00°, 90.00° and 90.00°. The inequivalent atoms are Ba at (0.000, 0.000, 0.000), Ca at (0.000, 0.000, 0.313) and Y at (0.000, 0.000, 0.667).

Its offset from the most stable computed form is 8 meV/atom. The formation energy comes out at 0.180 eV per atom. For the density, the calculation gives 3.38 g/cm³. The uncorrected energy is -3.282 eV per atom.